A relaxed structure of Ac2UCoO8, computed with PBE with a Hubbard U.

Cell and atoms, written as POSCAR:
```
Ac2UCoO8
1.0
6.9310 0.0000 0.0000
-3.4655 6.0024 0.0000
0.0000 0.0000 5.1042
O Ac U Co
8 2 1 1
Direct
0.2573 0.1286 0.7752 O
0.3333 0.6667 0.7060 O
0.6667 0.3333 0.2940 O
0.7427 0.8714 0.2248 O
0.1286 0.2573 0.2248 O
0.1286 0.8714 0.2248 O
0.8714 0.1286 0.7752 O
0.8714 0.7427 0.7752 O
0.3333 0.6667 0.2090 Ac
0.6667 0.3333 0.7910 Ac
0.0000 0.0000 0.5000 U
0.0000 0.0000 0.0000 Co
```

Calculated values
**DFT total energy**: -92.07 eV/cell
**Mass density**: 6.87 g/cm³
**Magnetic moment**: 0.085 μB per atom